A geometry-optimized MnSiF3 structure, computed with PBE with a Hubbard U.

The raw total energy comes out at -0.1911 Ha/atom.

It has space group Pm-3m (No. 221), with a = 4.2133 Å, b = 4.2133 Å, c = 4.2133 Å, α = 90.00°, β = 90.00° and γ = 90.00°. The inequivalent atoms are Mn at (0.0000, 0.0000, 0.0000), Si at (0.5000, 0.5000, 0.5000) and F at (0.0000, 0.0000, 0.5000).